This record from the Alexandria database describes an optimized crystal structure of TcNi2Ir. The functional is PBE.

Output
Calculated density, g/cm3: 13.22
ΔE_f, eV per atom: -0.03
D(E_F), states/eV/cell: 4.63
Energy above the lowest structure with this stoichiometry, kJ/mol of atoms: 4.7
Energy, eV/cell: -30.90

a = 2.669 Å, b = 2.669 Å, c = 7.182 Å
α = 90.00°, β = 90.00°, γ = 90.00°
Sites, in units of the cell vectors:
Tc: 0.000 0.000 0.000
Ni: 0.000 0.000 0.522
Ni: 0.500 0.500 0.753
Ir: 0.500 0.500 0.268